PBE ZrFeGe3, optimized geometry; DFT formation energy = 1.01 eV/atom; size of the total moment = 0.779 μB per atom; N(E_F) = 11.40 states/eV per cell; E_tot = -5.163 eV per atom
1.0
5.235 0.000 0.000
0.000 5.235 0.000
0.000 0.000 5.235
Zr Fe Ge
1 1 3
Direct
0.000 0.000 0.000
0.500 0.500 0.500
0.000 0.000 0.500
0.000 0.500 0.000
0.500 0.000 0.000

---

PBE PmErCo, optimized geometry; DFT formation energy = -0.07 eV/atom; size of the total moment = 0.205 μB per atom; distance to the lowest polymorph of the same formula = 68 meV per atom; N(E_F) = 5.54 states/eV per cell; E_tot = -5.541 eV per atom
1.0
6.612 -1.692 0.000
6.612 1.692 0.000
-1.815 0.000 6.576
Pm Er Co
2 2 2
Direct
0.129 0.129 0.066
0.871 0.871 0.934
0.126 0.126 0.562
0.874 0.874 0.438
0.498 0.498 0.264
0.502 0.502 0.736

---

PBE DyMg3Cu2, optimized geometry; DFT formation energy = -0.09 eV/atom; size of the total moment = 0.000 μB per atom; N(E_F) = 6.26 states/eV per cell; E_tot = -3.024 eV per atom
1.0
7.474 -1.888 0.000
7.474 1.888 0.000
-5.794 0.000 8.932
Dy Mg Cu
2 6 4
Direct
0.143 0.143 0.228
0.857 0.857 0.772
0.146 0.146 0.733
0.424 0.424 0.080
0.426 0.426 0.563
0.574 0.574 0.437
0.576 0.576 0.920
0.854 0.854 0.267
0.226 0.226 0.551
0.227 0.227 0.046
0.773 0.773 0.954
0.774 0.774 0.449

---

PBE RbBaSr2, optimized geometry; DFT formation energy = 0.14 eV/atom; size of the total moment = 0.000 μB per atom; distance to the lowest polymorph of the same formula = 71 meV per atom; N(E_F) = 5.48 states/eV per cell; E_tot = -1.421 eV per atom
1.0
0.000 5.030 5.030
5.030 0.000 5.030
5.030 5.030 0.000
Rb Ba Sr
1 1 2
Direct
0.000 0.000 0.000
0.500 0.500 0.500
0.250 0.250 0.250
0.750 0.750 0.750

---

PBE LiRuBr2, optimized geometry; size of the total moment = 0.000 μB per atom; distance to the lowest polymorph of the same formula = 45 meV per atom; N(E_F) = 1.73 states/eV per cell; E_tot = -3.758 eV per atom; formation energy (no corrections) = -124 meV per atom
1.0
1.882 1.087 7.687
-1.882 1.087 7.687
0.000 -2.173 7.687
Li Ru Br
1 1 2
Direct
0.000 0.000 0.000
0.769 0.769 0.769
0.293 0.293 0.293
0.482 0.482 0.482

---

PBE Cs3Cd2Au2, optimized geometry; DFT formation energy = -0.20 eV/atom; size of the total moment = 0.000 μB per atom; distance to the lowest polymorph of the same formula = 16 meV per atom; N(E_F) = 3.05 states/eV per cell; E_tot = -1.759 eV per atom
1.0
-2.500 2.698 11.356
2.500 -2.698 11.356
2.500 2.698 -11.356
Cs Cd Au
3 2 2
Direct
0.000 0.000 0.000
0.180 0.680 0.500
0.820 0.320 0.500
0.373 0.873 0.500
0.627 0.127 0.500
0.437 0.437 0.000
0.563 0.563 0.000

---

PBE RbLiVN2, optimized geometry; size of the total moment = 0.195 μB per atom; N(E_F) = 5.43 states/eV per cell; E_tot = -6.326 eV per atom; formation energy (no corrections) = -596 meV per atom
1.0
2.619 -6.204 0.000
2.619 6.204 0.000
0.000 0.000 5.269
Rb Li V N
2 2 2 4
Direct
0.250 0.750 0.751
0.750 0.250 0.249
0.000 0.000 0.500
0.500 0.500 0.500
0.250 0.250 0.000
0.750 0.750 0.000
0.078 0.922 0.183
0.422 0.578 0.183
0.578 0.422 0.817
0.922 0.078 0.817

---

PBE RePb2Br, optimized geometry; size of the total moment = 0.208 μB per atom; distance to the lowest polymorph of the same formula = 232 meV per atom; N(E_F) = 3.39 states/eV per cell; E_tot = -4.595 eV per atom; formation energy (no corrections) = 789 meV per atom
1.0
-1.577 2.411 6.801
1.577 -2.411 6.801
1.577 2.411 -6.801
Re Pb Br
1 2 1
Direct
0.000 0.000 0.000
0.179 0.679 0.500
0.821 0.321 0.500
0.500 0.500 0.000

---

PBE NiMoSe2, optimized geometry; size of the total moment = 0.000 μB per atom; distance to the lowest polymorph of the same formula = 120 meV per atom; N(E_F) = 2.54 states/eV per cell; E_tot = -6.087 eV per atom; formation energy (no corrections) = -191 meV per atom
1.0
3.234 0.000 0.000
0.000 3.234 0.000
0.000 0.000 7.241
Ni Mo Se
1 1 2
Direct
0.000 0.000 0.000
0.500 0.500 0.775
0.000 0.000 0.601
0.500 0.500 0.121

---

PBE Pm2IrS, optimized geometry; size of the total moment = 0.000 μB per atom; distance to the lowest polymorph of the same formula = 148 meV per atom; N(E_F) = 2.61 states/eV per cell; E_tot = -6.810 eV per atom; formation energy (no corrections) = -1188 meV per atom
1.0
2.006 1.158 7.225
-2.006 1.158 7.225
0.000 -2.316 7.225
Pm Ir S
2 1 1
Direct
0.000 0.000 0.000
0.178 0.178 0.178
0.589 0.589 0.589
0.422 0.422 0.422

---

PBE Ba2MgH12Pd3, optimized geometry; size of the total moment = 0.000 μB per atom; N(E_F) = 2.47 states/eV per cell; E_tot = -3.689 eV per atom
1.0
3.367 1.944 5.050
-3.367 1.944 5.050
0.000 -3.887 5.050
Ba Mg H Pd
2 1 12 3
Direct
0.121 0.121 0.121
0.879 0.879 0.879
0.500 0.500 0.500
0.139 0.600 0.600
0.190 0.190 0.586
0.190 0.586 0.190
0.400 0.400 0.861
0.400 0.861 0.400
0.414 0.810 0.810
0.586 0.190 0.190
0.600 0.139 0.600
0.600 0.600 0.139
0.810 0.414 0.810
0.810 0.810 0.414
0.861 0.400 0.400
0.000 0.500 0.500
0.500 0.000 0.500
0.500 0.500 0.000

---

PBE KMg3Cl7, optimized geometry; size of the total moment = 0.000 μB per atom; N(E_F) = 0.00 states/eV per cell; E_tot = -3.526 eV per atom; formation energy (no corrections) = -1816 meV per atom
1.0
5.695 -4.302 0.000
5.695 4.302 0.000
-0.901 0.000 6.388
K Mg Cl
1 3 7
Direct
0.000 0.000 0.000
0.297 0.703 0.500
0.500 0.500 0.000
0.703 0.297 0.500
0.000 0.000 0.500
0.177 0.588 0.786
0.372 0.372 0.297
0.412 0.823 0.214
0.588 0.177 0.786
0.628 0.628 0.703
0.823 0.412 0.214